# PBE-GGA TbPm4Ho2Er, optimized geometry
# * crystal system: orthorhombic
# * energy of formation from the pure elements: 0.02 eV/atom
# * spin magnetization: 0.00 μB/f.u.
# * DFT total energy: -4.6526 eV per atom
# * density: 7860 kg/m3
data_TbPm4Ho2Er
_symmetry_space_group_name_H-M 'P m m m'
_symmetry_Int_Tables_number 47
_symmetry_space_group_name_Hall '-P 2 2'
_cell_length_a 5.083
_cell_length_b 5.104
_cell_length_c 10.066
_cell_angle_alpha 90.00
_cell_angle_beta 90.00
_cell_angle_gamma 90.00
loop_
_atom_site_label
_atom_site_type_symbol
_atom_site_fract_x
_atom_site_fract_y
_atom_site_fract_z
_atom_site_occupancy
Tb1 Tb 0.000 0.000 0.000 1
Pm1 Pm 0.000 0.500 0.251 1
Pm2 Pm 0.500 0.000 0.251 1
Ho1 Ho 0.000 0.000 0.500 1
Ho2 Ho 0.500 0.500 0.000 1
Er1 Er 0.500 0.500 0.500 1